12
Lattice="-0.578 1.903 2.771 -4.772 -4.326 1.976 6.876 -5.197 5.003" Properties=species:S:1:pos:R:3 comment="SrCaPbO3 (GGA-PBE, optimized geometry)" total_energy_ha_per_atom=-0.2155 volume_a3_per_cell=229.0 formation_energy_uncorrected_ev_per_atom=-2.152 total_magnetization_mub_per_fu=0.00 crystal_system=monoclinic pbc="T T T"
Ca -2.408 -2.841 2.499
Ca 3.934 -4.778 7.251
O -3.266 -3.237 4.691
O -0.320 -6.336 5.334
O 2.980 -6.790 6.334
O 1.847 -1.284 4.416
O -1.453 -0.830 3.416
O 4.793 -4.382 5.059
Pb 2.758 -3.441 3.988
Pb -1.232 -4.179 5.762
Sr 0.598 -1.219 2.012
Sr 0.929 -6.400 7.738